# 1
Density functional theory data (GGA-PBE) for LiSmPN2 after structural relaxation.

The value obtained for the formation energy without anion corrections is -0.492 eV/atom. The value obtained for the density of states at the Fermi level is 3.86 states/eV per cell.

The structure belongs to space group P2/c (No. 13); the cell edges are 5.517, 3.943 and 6.166 Å and the angles 90.00°, 102.85° and 90.00°. The inequivalent atoms are Li at (0.000, 0.012, 0.250), Sm at (0.500, 0.249, 0.750), P at (0.000, 0.500, 0.000) and N at (0.256, 0.230, 0.044).

***

# 2
Density functional theory data (GGA-PBE) for Ac4Ni2Ge5 after structural relaxation.

The energy of formation comes out at -0.58 eV per atom. The value obtained for the density of states at the Fermi level is 7.48 states/eV per cell.

The structure belongs to space group P2/m (No. 10); the cell edges are 7.326, 4.570 and 8.490 Å and the angles 90.00°, 93.36° and 90.00°. The inequivalent atoms are Ac at (0.230, 0.000, 0.136), Ac at (0.254, 0.000, 0.628), Ni at (0.074, 0.500, 0.379), Ge at (0.100, 0.500, 0.872), Ge at (0.399, 0.500, 0.368) and Ge at (0.500, 0.500, 0.000).

***

# 3
Density functional theory data (GGA-PBE) for MgN3F after structural relaxation.

The value obtained for the formation energy without anion corrections is 2.149 eV/atom. The value obtained for the density of states at the Fermi level is 1.96 states/eV per cell.

The structure belongs to space group Pm-3m (No. 221); the cell edges are 4.126, 4.126 and 4.126 Å and the angles 90.00°, 90.00° and 90.00°. The inequivalent atoms are Mg at (0.000, 0.000, 0.000), N at (0.000, 0.000, 0.500) and F at (0.500, 0.500, 0.500).

***

# 4
Density functional theory data (GGA-PBE) for Er2In3Ni after structural relaxation.

The energy of formation comes out at -0.38 eV per atom. The value obtained for the density of states at the Fermi level is 4.18 states/eV per cell.

The structure belongs to space group Pmm2 (No. 25); the cell edges are 3.585, 4.750 and 8.180 Å and the angles 90.00°, 90.00° and 90.00°. The inequivalent atoms are Er at (0.000, 0.000, 0.000), Er at (0.000, 0.500, 0.444), In at (0.500, 0.000, 0.601), In at (0.500, 0.500, 0.142), In at (0.500, 0.500, 0.794) and Ni at (0.500, 0.000, 0.279).